No. 1
Material: Tm2InAu2
Method: DFT, GGA-PBEsol
State: optimized geometry

Results
**E**: -49.8 eV for the cell shown
**Formation energy**: -0.856 eV per atom
**SG**: P4/mbm
**V**: 218 Å³ per cell
**DOS(E_F)**: 3.277 states/eV/f.u.

Lattice parameters (Å, degrees): 3.6168 7.7609 7.7609 90.00 90.00 90.00
With the nearest neighbours (Å) after each atom.
Sites, in units of the cell vectors:
Tm  0.0000  0.1678  0.3322  6 Au 2.87-2.95
Tm  0.0000  0.8322  0.6678  6 Au 2.87-2.95
Tm  0.0000  0.6678  0.1678  6 Au 2.87-2.95
Tm  0.0000  0.3322  0.8322  6 Au 2.87-2.95
In  0.5000  0.0000  0.0000  4 Au 3.05, 8 Tm 3.41
In  0.5000  0.5000  0.5000  4 Au 3.05, 8 Tm 3.41
Au  0.5000  0.3706  0.1294  1 Au 2.84, 6 Tm 2.87-2.95, 2 In 3.05
Au  0.5000  0.6294  0.8706  1 Au 2.84, 6 Tm 2.87-2.95, 2 In 3.05
Au  0.5000  0.8706  0.3706  1 Au 2.84, 6 Tm 2.87-2.95, 2 In 3.05
Au  0.5000  0.1294  0.6294  1 Au 2.84, 6 Tm 2.87-2.95, 2 In 3.05


No. 2
Material: KRbGa2Bi
Method: DFT, GGA-PBEsol
State: optimized geometry

Results
**E**: -10.1 eV for the cell shown
**Formation energy**: 0.606 eV per atom
**SG**: P4/mmm
**V**: 208 Å³ per cell
**DOS(E_F)**: 2.100 states/eV/f.u.

Lattice parameters (Å, degrees): 5.8280 5.8280 6.1168 90.00 90.00 90.00
With the nearest neighbours (Å) after each atom.
Sites, in units of the cell vectors:
K  0.0000  0.0000  0.0000  4 Ga 2.91, 2 Bi 3.06
Ga  0.0000  0.5000  0.0000  2 K 2.91
Ga  0.5000  0.0000  0.0000  2 K 2.91
Bi  0.0000  0.0000  0.5000  2 K 3.06
Rb  0.5000  0.5000  0.5000  4 Bi 4.12, 8 Ga 4.22


No. 3
Material: Hf4FeP
Method: DFT, GGA-PBEsol
State: optimized geometry

Results
**E**: -120.7 eV for the cell shown
**Formation energy**: -0.601 eV per atom
**SG**: P4/mcc
**V**: 210 Å³ per cell
**DOS(E_F)**: 6.158 states/eV/f.u.

Lattice parameters (Å, degrees): 5.4390 6.2115 6.2115 90.00 90.00 90.00
With the nearest neighbours (Å) after each atom.
Sites, in units of the cell vectors:
P  0.7500  0.5000  0.5000  2 P 2.72, 8 Hf 2.74
P  0.2500  0.5000  0.5000  2 P 2.72, 8 Hf 2.74
Hf  0.5000  0.1598  0.3243  2 Fe 2.63, 2 P 2.74
Hf  0.5000  0.8402  0.6757  2 Fe 2.63, 2 P 2.74
Hf  0.5000  0.6757  0.1598  2 Fe 2.63, 2 P 2.74
Hf  0.5000  0.3243  0.8402  2 Fe 2.63, 2 P 2.74
Hf  0.0000  0.8402  0.3243  2 Fe 2.63, 2 P 2.74
Hf  0.0000  0.6757  0.8402  2 Fe 2.63, 2 P 2.74
Hf  0.0000  0.3243  0.1598  2 Fe 2.63, 2 P 2.74
Hf  0.0000  0.1598  0.6757  2 Fe 2.63, 2 P 2.74
Fe  0.7500  0.0000  0.0000  8 Hf 2.63, 2 Fe 2.72
Fe  0.2500  0.0000  0.0000  8 Hf 2.63, 2 Fe 2.72


No. 4
Material: YBeTl3
Method: DFT, GGA-PBEsol
State: optimized geometry

Results
**E**: -13.0 eV for the cell shown
**Formation energy**: 1.145 eV per atom
**SG**: Pm-3m
**V**: 198 Å³ per cell
**DOS(E_F)**: 6.873 states/eV/f.u.

Lattice parameters (Å, degrees): 5.8289 5.8289 5.8289 90.00 90.00 90.00
With the nearest neighbours (Å) after each atom.
Sites, in units of the cell vectors:
Y  0.0000  0.0000  0.0000  6 Tl 2.91
Be  0.5000  0.5000  0.5000  12 Tl 4.12
Tl  0.0000  0.5000  0.0000  2 Y 2.91
Tl  0.0000  0.0000  0.5000  2 Y 2.91
Tl  0.5000  0.0000  0.0000  2 Y 2.91


No. 5
Material: Pu2SO2
Method: DFT, GGA-PBEsol
State: optimized geometry

Results
**E**: -58.0 eV for the cell shown
**SG**: P-3m1
**ΔE_f (raw)**: -12.77 eV/f.u.
**V**: 82 Å³ per cell
**DOS(E_F)**: 8.695 states/eV/f.u.

Lattice parameters (Å, degrees): 3.8002 3.8002 6.5257 90.00 90.00 120.00
With the nearest neighbours (Å) after each atom.
Sites, in units of the cell vectors:
Pu  0.3333  0.6667  0.2737  4 O 2.28-2.32
Pu  0.6667  0.3333  0.7263  4 O 2.28-2.32
S  0.0000  0.0000  0.0000  6 Pu 2.83
O  0.6667  0.3333  0.3711  4 Pu 2.28-2.32
O  0.3333  0.6667  0.6289  4 Pu 2.28-2.32


No. 6
Material: Sc4C3
Method: DFT, GGA-PBEsol
State: optimized geometry

Results
**E**: -57.8 eV for the cell shown
**Formation energy**: -0.354 eV per atom
**SG**: Pm-3m
**V**: 98 Å³ per cell
**DOS(E_F)**: 5.169 states/eV/f.u.

Lattice parameters (Å, degrees): 4.6136 4.6136 4.6136 90.00 90.00 90.00
With the nearest neighbours (Å) after each atom.
Sites, in units of the cell vectors:
C  0.0000  0.5000  0.0000  6 Sc 2.31
C  0.0000  0.0000  0.5000  6 Sc 2.31
C  0.5000  0.0000  0.0000  6 Sc 2.31
Sc  0.0000  0.0000  0.0000  6 C 2.31
Sc  0.0000  0.5000  0.5000  4 C 2.31
Sc  0.5000  0.0000  0.5000  4 C 2.31
Sc  0.5000  0.5000  0.0000  4 C 2.31


No. 7
Material: SrH9ClO5
Method: DFT, GGA-PBEsol
State: optimized geometry

Results
**E**: -162.4 eV for the cell shown
**SG**: P-1
**V**: 307 Å³ per cell
**DOS(E_F)**: 0.000 states/eV/f.u.

Lattice parameters (Å, degrees): 5.8755 7.2797 7.5482 91.44 72.00 90.91
With the nearest neighbours (Å) after each atom.
Sites, in units of the cell vectors:
Sr  0.1718  0.9527  0.7132  8 O 2.58-2.70, 1 H 2.87
Sr  0.8282  0.0473  0.2868  8 O 2.58-2.70, 1 H 2.87
H  0.1038  0.6949  0.2018  1 O 1.00
H  0.8962  0.3051  0.7982  1 O 1.00
H  0.3063  0.8115  0.0445  1 O 1.05
H  0.6937  0.1885  0.9555  1 O 1.05
H  0.5315  0.7052  0.3892  1 O 0.99
H  0.4685  0.2948  0.6108  1 O 0.99
H  0.3522  0.8187  0.3108  1 O 1.03
H  0.6478  0.1813  0.6892  1 O 1.03
H  0.1288  0.2943  0.4924  1 O 0.99
H  0.8712  0.7057  0.5076  1 O 0.99
H  0.3058  0.1782  0.3248  1 O 1.03
H  0.6942  0.8218  0.6752  1 O 1.03
H  0.3228  0.1894  0.0556  1 O 1.03
H  0.6772  0.8106  0.9444  1 O 1.03
H  0.1603  0.2948  0.9557  1 O 0.99
H  0.8397  0.7052  0.0443  1 O 0.99
H  0.4321  0.6697  0.8217  1 O 0.99
H  0.5679  0.3303  0.1783  1 O 0.99
Cl  0.1757  0.4955  0.7178  5 H 2.08-2.32
Cl  0.8243  0.5045  0.2822  5 H 2.08-2.32
O  0.1919  0.8146  0.1824  2 H 1.00-1.05
O  0.8081  0.1854  0.8176  2 H 1.00-1.05
O  0.4522  0.8259  0.4010  2 H 0.99-1.03
O  0.5478  0.1741  0.5990  2 H 0.99-1.03
O  0.1495  0.1697  0.4353  2 H 0.99-1.03
O  0.8505  0.8303  0.5647  2 H 0.99-1.03
O  0.1801  0.1733  0.0043  2 H 0.99-1.03
O  0.8199  0.8267  0.9957  2 H 0.99-1.03
O  0.4715  0.7971  0.8497  1 H 0.99
O  0.5285  0.2029  0.1503  1 H 0.99


No. 8
Material: ZnCuCl2
Method: DFT, GGA-PBEsol
State: optimized geometry

Results
**E**: -11.2 eV for the cell shown
**SG**: Cmm2
**ΔE_f (raw)**: -1.25 eV/f.u.
**V**: 83 Å³ per cell
**DOS(E_F)**: 1.093 states/eV/f.u.

Lattice parameters (Å, degrees): 3.3755 3.4561 8.1279 90.00 90.00 119.23
With the nearest neighbours (Å) after each atom.
Sites, in units of the cell vectors:
Zn  0.5000  0.0000  0.7328  2 Cl 2.30, 2 Cu 2.47
Cu  0.0000  0.0000  0.5103  2 Cl 2.23, 2 Zn 2.47
Cl  0.0000  0.0000  0.9253  2 Zn 2.30
Cl  0.5000  0.0000  0.3315  2 Cu 2.23